# NbAlCd2

NbAlCd2 after structural relaxation (PBE, Alexandria).

The structure in extended XYZ format:
```
8
Lattice="-5.683 -0.869 5.045 4.979 -2.689 5.146 0.083 0.821 6.033" Properties=species:S:1:pos:R:3 pbc="T T T"
Nb 0.000 0.000 0.000
Nb -2.976 -0.914 8.087
Al -0.352 -1.779 5.096
Al 2.355 -1.824 8.137
Cd -2.779 -0.654 5.189
Cd 2.292 -1.604 5.471
Cd -0.087 -0.780 8.464
Cd -0.667 -2.436 13.324
```

# NbAl3Cd

NbAl3Cd after structural relaxation (PBE, Alexandria).

The structure in extended XYZ format:
```
5
Lattice="-1.700 -2.903 -3.743 4.522 0.190 -2.202 1.411 -4.107 2.545" Properties=species:S:1:pos:R:3 pbc="T T T"
Nb 0.000 0.000 0.000
Al 2.261 0.095 -1.101
Al 0.706 -2.054 1.272
Al -0.850 -1.452 -1.872
Cd 2.116 -3.410 -1.700
```

# NbAlCd2Pt

NbAlCd2Pt after structural relaxation (PBE, Alexandria).

The structure in extended XYZ format:
```
5
Lattice="5.259 0.000 0.000 0.000 4.979 0.000 0.000 0.000 5.259" Properties=species:S:1:pos:R:3 pbc="T T T"
Nb 0.000 0.000 0.000
Al 0.000 2.489 0.000
Pt 2.630 2.489 2.630
Cd 0.000 0.000 2.630
Cd 2.630 0.000 0.000
```

no.,energy relative to the elements (eV/atom),total magnetization (μB per atom)
1,0.43,0.00
2,0.77,0.00
3,1.42,0.00